# 1
Below is a relaxed structure of La5Pr2Th2, with properties calculated at the PBE-GGA level.

Structure (CIF):
```
data_La5Pr2Th2
_cell_length_a 6.372
_cell_length_b 6.388
_cell_length_c 8.229
_cell_angle_alpha 82.99
_cell_angle_beta 74.84
_cell_angle_gamma 80.21
_symmetry_space_group_name_H-M 'P 1'
_symmetry_Int_Tables_number 1
loop_
_symmetry_equiv_pos_as_xyz
'x,y,z'
loop_
_atom_site_label
_atom_site_fract_x
_atom_site_fract_y
_atom_site_fract_z
La1 0.000 0.000 0.000
La2 0.117 0.223 0.550
La3 0.453 0.883 0.237
La4 0.547 0.117 0.763
La5 0.883 0.777 0.450
Pr1 0.221 0.444 0.111
Pr2 0.779 0.556 0.889
Th1 0.337 0.661 0.662
Th2 0.663 0.339 0.338
```

Electronic total energy (eV/atom): -5.405
DOS at the Fermi energy (states/eV per cell): 16.85


# 2
Below is a relaxed structure of LaTm2Co9, with properties calculated at the PBE-GGA level.

Structure (CIF):
```
data_LaTm2Co9
_cell_length_a 8.578
_cell_length_b 8.578
_cell_length_c 8.578
_cell_angle_alpha 33.99
_cell_angle_beta 33.99
_cell_angle_gamma 33.99
_symmetry_space_group_name_H-M 'P 1'
_symmetry_Int_Tables_number 1
loop_
_symmetry_equiv_pos_as_xyz
'x,y,z'
loop_
_atom_site_label
_atom_site_fract_x
_atom_site_fract_y
_atom_site_fract_z
La1 0.000 0.000 0.000
Tm1 0.141 0.141 0.141
Tm2 0.859 0.859 0.859
Co1 0.078 0.586 0.586
Co2 0.335 0.335 0.335
Co3 0.414 0.414 0.922
Co4 0.414 0.922 0.414
Co5 0.500 0.500 0.500
Co6 0.586 0.078 0.586
Co7 0.586 0.586 0.078
Co8 0.665 0.665 0.665
Co9 0.922 0.414 0.414
```

Electronic total energy (eV/atom): -6.647
DOS at the Fermi energy (states/eV per cell): 17.13


# 3
Below is a relaxed structure of Ca4Sc2Rh, with properties calculated at the PBE-GGA level.

Structure (CIF):
```
data_Ca4Sc2Rh
_cell_length_a 9.067
_cell_length_b 9.067
_cell_length_c 9.067
_cell_angle_alpha 145.38
_cell_angle_beta 145.38
_cell_angle_gamma 49.77
_symmetry_space_group_name_H-M 'P 1'
_symmetry_Int_Tables_number 1
loop_
_symmetry_equiv_pos_as_xyz
'x,y,z'
loop_
_atom_site_label
_atom_site_fract_x
_atom_site_fract_y
_atom_site_fract_z
Ca1 0.000 0.500 0.500
Ca2 0.171 0.171 0.000
Ca3 0.500 0.000 0.500
Ca4 0.829 0.829 0.000
Sc1 0.385 0.385 0.000
Sc2 0.615 0.615 0.000
Rh1 0.000 0.000 0.000
```

Electronic total energy (eV/atom): -3.716
DOS at the Fermi energy (states/eV per cell): 8.04


# 4
Below is a relaxed structure of Pm2Sm6Y3, with properties calculated at the PBE-GGA level.

Structure (CIF):
```
data_Pm2Sm6Y3
_cell_length_a 17.148
_cell_length_b 17.148
_cell_length_c 17.148
_cell_angle_alpha 163.89
_cell_angle_beta 163.89
_cell_angle_gamma 22.86
_symmetry_space_group_name_H-M 'P 1'
_symmetry_Int_Tables_number 1
loop_
_symmetry_equiv_pos_as_xyz
'x,y,z'
loop_
_atom_site_label
_atom_site_fract_x
_atom_site_fract_y
_atom_site_fract_z
Pm1 0.046 0.046 0.000
Pm2 0.954 0.954 0.000
Sm1 0.120 0.620 0.500
Sm2 0.195 0.195 0.000
Sm3 0.380 0.880 0.500
Sm4 0.620 0.120 0.500
Sm5 0.805 0.805 0.000
Sm6 0.880 0.380 0.500
Y1 0.298 0.298 0.000
Y2 0.500 0.500 0.000
Y3 0.702 0.702 0.000
```

Offset from the most stable computed form (meV per atom): 97.3
DOS at the Fermi energy (states/eV per cell): 14.85


# 5
Below is a relaxed structure of BePtI3, with properties calculated at the PBE-GGA level.

Structure (CIF):
```
data_BePtI3
_cell_length_a 5.497
_cell_length_b 5.497
_cell_length_c 5.497
_cell_angle_alpha 90.00
_cell_angle_beta 90.00
_cell_angle_gamma 90.00
_symmetry_space_group_name_H-M 'P 1'
_symmetry_Int_Tables_number 1
loop_
_symmetry_equiv_pos_as_xyz
'x,y,z'
loop_
_atom_site_label
_atom_site_fract_x
_atom_site_fract_y
_atom_site_fract_z
Be1 0.000 0.000 0.000
Pt1 0.500 0.500 0.500
I1 0.000 0.500 0.500
I2 0.500 0.000 0.500
I3 0.500 0.500 0.000
```

Offset from the most stable computed form (meV per atom): 0.0
ΔE_f (raw) (eV per atom): 0.656
DOS at the Fermi energy (states/eV per cell): 2.90


# 6
Below is a relaxed structure of SrCrNi, with properties calculated at the PBE-GGA level.

Structure (CIF):
```
data_SrCrNi
_cell_length_a 6.011
_cell_length_b 6.011
_cell_length_c 6.011
_cell_angle_alpha 147.26
_cell_angle_beta 147.26
_cell_angle_gamma 46.99
_symmetry_space_group_name_H-M 'P 1'
_symmetry_Int_Tables_number 1
loop_
_symmetry_equiv_pos_as_xyz
'x,y,z'
loop_
_atom_site_label
_atom_site_fract_x
_atom_site_fract_y
_atom_site_fract_z
Sr1 0.000 0.000 0.000
Cr1 0.722 0.722 0.000
Ni1 0.290 0.290 0.000
```

Offset from the most stable computed form (meV per atom): 170.6
DOS at the Fermi energy (states/eV per cell): 3.11


# 7
Below is a relaxed structure of Ru2RhW, with properties calculated at the PBE-GGA level.

Structure (CIF):
```
data_Ru2RhW
_cell_length_a 4.372
_cell_length_b 4.372
_cell_length_c 4.372
_cell_angle_alpha 60.00
_cell_angle_beta 60.00
_cell_angle_gamma 60.00
_symmetry_space_group_name_H-M 'P 1'
_symmetry_Int_Tables_number 1
loop_
_symmetry_equiv_pos_as_xyz
'x,y,z'
loop_
_atom_site_label
_atom_site_fract_x
_atom_site_fract_y
_atom_site_fract_z
Ru1 0.250 0.250 0.250
Ru2 0.750 0.750 0.750
Rh1 0.000 0.000 0.000
W1 0.500 0.500 0.500
```

Offset from the most stable computed form (meV per atom): 391.1
DOS at the Fermi energy (states/eV per cell): 7.30


# 8
Below is a relaxed structure of Mo2PtSe, with properties calculated at the PBE-GGA level.

Structure (CIF):
```
data_Mo2PtSe
_cell_length_a 2.903
_cell_length_b 4.045
_cell_length_c 5.567
_cell_angle_alpha 90.00
_cell_angle_beta 90.00
_cell_angle_gamma 90.00
_symmetry_space_group_name_H-M 'P 1'
_symmetry_Int_Tables_number 1
loop_
_symmetry_equiv_pos_as_xyz
'x,y,z'
loop_
_atom_site_label
_atom_site_fract_x
_atom_site_fract_y
_atom_site_fract_z
Mo1 0.000 0.000 0.000
Mo2 0.500 0.500 0.337
Pt1 0.000 0.000 0.509
Se1 0.500 0.500 0.848
```

ΔE_f (raw) (eV per atom): 0.152
DOS at the Fermi energy (states/eV per cell): 3.28